1.
Compound: AlPt2Pb
Source: the Alexandria database
Functional: meta-GGA SCAN
Structure: PBEsol geometry

It has space group P4mm (No. 99), with a = 3.568 Å, b = 3.568 Å, c = 5.569 Å, α = 90.00°, β = 90.00° and γ = 90.00°. The asymmetric unit holds Al at (0.000, 0.000, 0.000), Pt at (0.000, 0.000, 0.549), Pt at (0.500, 0.500, 0.862) and Pb at (0.500, 0.500, 0.350).

For the density of states at the Fermi level, the calculation gives 1.2 states/eV/cell. Its energy of formation from the pure elements is -38.3 kJ per mole of atoms. Its total energy is -56.377 eV/atom.

2.
Compound: KZnFe2Co
Source: the Alexandria database
Functional: meta-GGA SCAN
Structure: PBEsol geometry

It has space group P4/mmm (No. 123), with a = 4.512 Å, b = 4.512 Å, c = 5.218 Å, α = 90.00°, β = 90.00° and γ = 90.00°. The asymmetric unit holds K at (0.000, 0.000, 0.000), Zn at (0.000, 0.000, 0.500), Fe at (0.000, 0.500, 0.500) and Co at (0.500, 0.500, 0.000).

For the density of states at the Fermi level, the calculation gives 4.3 states/eV/cell. Its energy of formation from the pure elements is 142.9 kJ per mole of atoms. Its total energy is -13.600 eV/atom.

3.
Compound: CdFe2AgPb
Source: the Alexandria database
Functional: meta-GGA SCAN
Structure: PBEsol geometry

It has space group P4/mmm (No. 123), with a = 4.753 Å, b = 4.753 Å, c = 5.001 Å, α = 90.00°, β = 90.00° and γ = 90.00°. The asymmetric unit holds Cd at (0.000, 0.000, 0.000), Fe at (0.000, 0.500, 0.500), Ag at (0.000, 0.000, 0.500) and Pb at (0.500, 0.500, 0.000).

For the density of states at the Fermi level, the calculation gives 3.7 states/eV/cell. Its energy of formation from the pure elements is 92.0 kJ per mole of atoms. Its total energy is -33.811 eV/atom.

4.
Compound: FeAsAu2
Source: the Alexandria database
Functional: meta-GGA SCAN
Structure: PBEsol geometry

It has space group Cmmm (No. 65), with a = 5.388 Å, b = 8.374 Å, c = 2.844 Å, α = 90.00°, β = 90.00° and γ = 90.00°. The asymmetric unit holds Fe at (0.000, 0.000, 0.000), As at (0.000, 0.500, 0.000) and Au at (0.250, 0.250, 0.500).

For the density of states at the Fermi level, the calculation gives 4.6 states/eV/cell. Its energy of formation from the pure elements is 20.0 kJ per mole of atoms. Its total energy is -43.951 eV/atom.